Entry from the Alexandria database: a geometry-optimized NaAc2DySe4 structure (GGA-PBE).

Its crystal system is monoclinic. The calculation puts the volume at 227.4 Å³ per cell. As for the raw formation energy: -168.82 kJ per mole of atoms. The calculation puts the density of states at the Fermi level at 3.00 states/eV/f.u.

a b c (Å): 4.320 7.411 7.534
angles (deg): 70.55 90.00 90.00
Atoms (fractional coordinates):
1 Na 0.500 0.500 0.000
2 Ac 0.000 0.000 0.000
3 Ac 0.500 0.000 0.500
4 Dy 0.000 0.500 0.500
5 Se 0.000 0.731 0.750
6 Se 0.000 0.269 0.250
7 Se 0.500 0.725 0.262
8 Se 0.500 0.275 0.738

Entry from the Alexandria database: a geometry-optimized Pa2TaAl structure (GGA-PBE).

Its crystal system is trigonal. The value obtained for the energy above the most stable polymorph in this dataset is 0.380 eV/atom. The calculation puts the volume at 91.5 Å³ per cell. The formation energy from the elements comes out at 1.37 eV per formula unit. The calculation puts the density of states at the Fermi level at 6.51 states/eV/f.u.

a b c (Å): 3.024 3.024 11.690
angles (deg): 82.57 82.57 60.00
Atoms (fractional coordinates):
1 Pa 0.089 0.089 0.734
2 Pa 0.911 0.911 0.266
3 Al 0.000 0.000 0.000
4 Ta 0.500 0.500 0.500